Entry 1:
# BeTeIr2, optimized geometry, DFT PBEsol
# - Excess energy over the best structure of this formula in the dataset: 0 meV/atom
# - Symmetry: No. 99
data_BeTeIr2
_symmetry_space_group_name_H-M 'P 1'
_symmetry_Int_Tables_number 1
_cell_length_a 3.2405
_cell_length_b 3.2405
_cell_length_c 5.8562
_cell_angle_alpha 90.00
_cell_angle_beta 90.00
_cell_angle_gamma 90.00
loop_
_symmetry_equiv_pos_as_xyz
'x,y,z'
loop_
_atom_site_label
_atom_site_fract_x
_atom_site_fract_y
_atom_site_fract_z
Be1 0.5000 0.5000 0.8522
Ir1 0.0000 0.0000 0.9201
Ir2 0.5000 0.5000 0.2515
Te1 0.0000 0.0000 0.4761

Entry 2:
# TiBe2Ir2, optimized geometry, DFT PBEsol
# - Symmetry: No. 127
# - E_form: -64.8 kJ per mole of atoms
data_TiBe2Ir2
_symmetry_space_group_name_H-M 'P 1'
_symmetry_Int_Tables_number 1
_cell_length_a 2.7680
_cell_length_b 6.5100
_cell_length_c 6.5100
_cell_angle_alpha 90.00
_cell_angle_beta 90.00
_cell_angle_gamma 90.00
loop_
_symmetry_equiv_pos_as_xyz
'x,y,z'
loop_
_atom_site_label
_atom_site_fract_x
_atom_site_fract_y
_atom_site_fract_z
Be1 0.0000 0.3818 0.8818
Be2 0.0000 0.8818 0.6182
Be3 0.0000 0.6182 0.1182
Be4 0.0000 0.1182 0.3818
Ir1 0.5000 0.1756 0.6756
Ir2 0.5000 0.6756 0.8244
Ir3 0.5000 0.8244 0.3244
Ir4 0.5000 0.3244 0.1756
Ti1 0.0000 0.0000 0.0000
Ti2 0.0000 0.5000 0.5000

Entry 3:
# BeTl2Ir, optimized geometry, DFT PBEsol
# - Excess energy over the best structure of this formula in the dataset: 100 meV/atom
# - Symmetry: No. 10
# - E_form: 68.0 kJ per mole of atoms
data_BeTl2Ir
_symmetry_space_group_name_H-M 'P 1'
_symmetry_Int_Tables_number 1
_cell_length_a 3.1554
_cell_length_b 4.4927
_cell_length_c 5.1392
_cell_angle_alpha 90.00
_cell_angle_beta 88.23
_cell_angle_gamma 90.00
loop_
_symmetry_equiv_pos_as_xyz
'x,y,z'
loop_
_atom_site_label
_atom_site_fract_x
_atom_site_fract_y
_atom_site_fract_z
Be1 0.5000 0.5000 0.0000
Tl1 0.7251 0.0000 0.7537
Tl2 0.2749 0.0000 0.2463
Ir1 0.0000 0.5000 0.5000

Entry 4:
# Be2TlIr, optimized geometry, DFT PBEsol
# - Symmetry: No. 12
# - E_form: 11.7 kJ per mole of atoms
data_Be2TlIr
_symmetry_space_group_name_H-M 'P 1'
_symmetry_Int_Tables_number 1
_cell_length_a 3.6068
_cell_length_b 4.1670
_cell_length_c 4.5005
_cell_angle_alpha 101.44
_cell_angle_beta 90.00
_cell_angle_gamma 115.64
loop_
_symmetry_equiv_pos_as_xyz
'x,y,z'
loop_
_atom_site_label
_atom_site_fract_x
_atom_site_fract_y
_atom_site_fract_z
Be1 0.8013 0.6026 0.9274
Be2 0.1987 0.3974 0.0726
Tl1 0.0000 0.0000 0.5000
Ir1 0.5000 0.0000 0.0000

Entry 5:
# BeTl2Ir, optimized geometry, DFT PBEsol
# - Excess energy over the best structure of this formula in the dataset: 0 meV/atom
# - Symmetry: No. 119
# - E_form: 58.3 kJ per mole of atoms
data_BeTl2Ir
_symmetry_space_group_name_H-M 'P 1'
_symmetry_Int_Tables_number 1
_cell_length_a 4.0716
_cell_length_b 4.0716
_cell_length_c 5.0873
_cell_angle_alpha 113.59
_cell_angle_beta 113.59
_cell_angle_gamma 90.00
loop_
_symmetry_equiv_pos_as_xyz
'x,y,z'
loop_
_atom_site_label
_atom_site_fract_x
_atom_site_fract_y
_atom_site_fract_z
Be1 0.5000 0.5000 0.0000
Tl1 0.0000 0.0000 0.0000
Tl2 0.7500 0.2500 0.5000
Ir1 0.2500 0.7500 0.5000

Entry 6:
# BeTl3Ir, optimized geometry, DFT PBEsol
# - Symmetry: No. 221
# - E_form: 70.2 kJ per mole of atoms
data_BeTl3Ir
_symmetry_space_group_name_H-M 'P 1'
_symmetry_Int_Tables_number 1
_cell_length_a 5.2176
_cell_length_b 5.2176
_cell_length_c 5.2176
_cell_angle_alpha 90.00
_cell_angle_beta 90.00
_cell_angle_gamma 90.00
loop_
_symmetry_equiv_pos_as_xyz
'x,y,z'
loop_
_atom_site_label
_atom_site_fract_x
_atom_site_fract_y
_atom_site_fract_z
Be1 0.5000 0.5000 0.5000
Tl1 0.0000 0.5000 0.0000
Tl2 0.0000 0.0000 0.5000
Tl3 0.5000 0.0000 0.0000
Ir1 0.0000 0.0000 0.0000

Entry 7:
# BeIrW, optimized geometry, DFT PBEsol
# - Symmetry: No. 107
# - E_form: -29.7 kJ per mole of atoms
data_BeIrW
_symmetry_space_group_name_H-M 'P 1'
_symmetry_Int_Tables_number 1
_cell_length_a 2.7909
_cell_length_b 2.7909
_cell_length_c 5.1712
_cell_angle_alpha 105.66
_cell_angle_beta 105.66
_cell_angle_gamma 90.00
loop_
_symmetry_equiv_pos_as_xyz
'x,y,z'
loop_
_atom_site_label
_atom_site_fract_x
_atom_site_fract_y
_atom_site_fract_z
Be1 0.0121 0.0121 0.0242
Ir1 0.6471 0.6471 0.2941
W1 0.3408 0.3408 0.6817

Entry 8:
# Be2IrW, optimized geometry, DFT PBEsol
# - Excess energy over the best structure of this formula in the dataset: 25 meV/atom
# - Symmetry: No. 47
# - E_form: 5.4 kJ per mole of atoms
data_Be2IrW
_symmetry_space_group_name_H-M 'P 1'
_symmetry_Int_Tables_number 1
_cell_length_a 2.7931
_cell_length_b 3.8996
_cell_length_c 4.4979
_cell_angle_alpha 90.00
_cell_angle_beta 90.00
_cell_angle_gamma 90.00
loop_
_symmetry_equiv_pos_as_xyz
'x,y,z'
loop_
_atom_site_label
_atom_site_fract_x
_atom_site_fract_y
_atom_site_fract_z
Be1 0.0000 0.0000 0.0000
Be2 0.5000 0.0000 0.5000
Ir1 0.5000 0.5000 0.0000
W1 0.0000 0.5000 0.5000

Total DFT energy (no corrections) list, top to bottom, in eV/cell: -26.4, -78.7, -16.3, -20.0, -16.7, -18.1, -28.6, -31.4